1.
# AlBiTePt2

A PBEsol-optimized structure of AlBiTePt2 (SCAN, Alexandria).

Unit cell a=4.6490 b=4.6490 c=5.2794 alpha=90.00 beta=90.00 gamma=90.00
Last column: nearest neighbours and their distance in Å.
Fractional positions:
1 Al 0.0000 0.0000 0.0000  4 Pt 2.32
2 Bi 0.5000 0.5000 0.5000  4 Te 3.29, 8 Pt 3.52
3 Te 0.0000 0.0000 0.5000  2 Al 2.64
4 Pt 0.0000 0.5000 0.0000  2 Al 2.32
5 Pt 0.5000 0.0000 0.0000  2 Al 2.32

Properties
- ΔE_f (raw) (eV/f.u.) = 1.8
- SG = P4/mmm (123)

2.
# Si2TcTe

A PBEsol-optimized structure of Si2TcTe (SCAN, Alexandria).

Unit cell a=3.4205 b=4.8481 c=8.0054 alpha=90.00 beta=90.00 gamma=90.00
Last column: nearest neighbours and their distance in Å.
Fractional positions:
1 Si 0.0000 0.0000 0.0000  2 Si 2.44, 2 Te 2.67
2 Si 0.0000 0.5000 0.2832  2 Si 2.44, 2 Tc 2.48
3 Si 0.5000 0.0000 0.7832  2 Si 2.44, 2 Tc 2.48
4 Si 0.5000 0.5000 0.5000  2 Si 2.44, 2 Te 2.67
5 Tc 0.0000 0.0000 0.5582  2 Si 2.48
6 Tc 0.5000 0.5000 0.0582  2 Si 2.48
7 Te 0.0000 0.5000 0.7562  6 Si 2.67-2.97, 4 Tc 2.90-2.96
8 Te 0.5000 0.0000 0.2562  6 Si 2.67-2.97, 4 Tc 2.90-2.96

Properties
- ΔE_f (raw) (eV/f.u.) = 2.3
- SG = Imm2 (44)

3.
# CaCu2Br

A PBEsol-optimized structure of CaCu2Br (SCAN, Alexandria).

Unit cell a=3.4347 b=3.4347 c=6.8369 alpha=90.00 beta=90.00 gamma=90.00
Last column: nearest neighbours and their distance in Å.
Fractional positions:
1 Ca 0.0000 0.0000 0.0000  1 Cu 2.58
2 Cu 0.0000 0.0000 0.3780  4 Cu 2.47, 1 Ca 2.58
3 Cu 0.5000 0.5000 0.3140  4 Cu 2.47
4 Br 0.5000 0.5000 0.7671  4 Ca 2.90, 1 Cu 3.10

Properties
- ΔE_f (raw) (eV/f.u.) = -1.6
- SG = P4mm (99)
- excess energy over the best structure of this formula in the dataset (eV/atom) = 0.000

4.
# ZrNi5

A PBEsol-optimized structure of ZrNi5 (SCAN, Alexandria).

Unit cell a=8.0487 b=3.6288 c=5.1367 alpha=90.00 beta=108.35 gamma=90.00
Last column: nearest neighbours and their distance in Å.
Fractional positions:
1 Zr 0.0000 0.0000 0.0000  12 Ni 2.57-2.62
2 Zr 0.5000 0.5000 0.0000  12 Ni 2.57-2.62
3 Ni 0.0000 0.0000 0.5000  10 Ni 2.47-2.59, 2 Zr 2.57
4 Ni 0.1617 0.5000 0.8099  9 Ni 2.43-2.72, 3 Zr 2.59-2.60
5 Ni 0.1773 0.5000 0.3441  10 Ni 2.43-2.71, 2 Zr 2.62
6 Ni 0.3227 0.0000 0.6559  10 Ni 2.43-2.71, 2 Zr 2.62
7 Ni 0.3383 0.0000 0.1901  9 Ni 2.43-2.72, 3 Zr 2.59-2.60
8 Ni 0.5000 0.5000 0.5000  10 Ni 2.47-2.59, 2 Zr 2.57
9 Ni 0.6617 0.0000 0.8099  9 Ni 2.43-2.72, 3 Zr 2.59-2.60
10 Ni 0.6773 0.0000 0.3441  10 Ni 2.43-2.71, 2 Zr 2.62
11 Ni 0.8227 0.5000 0.6559  10 Ni 2.43-2.71, 2 Zr 2.62
12 Ni 0.8383 0.5000 0.1901  9 Ni 2.43-2.72, 3 Zr 2.59-2.60

Properties
- calculated formation energy (eV per atom) = -0.203
- SG = C2/m (12)

5.
# Y2AlSi

A PBEsol-optimized structure of Y2AlSi (SCAN, Alexandria).

Unit cell a=3.9523 b=4.2850 c=10.7435 alpha=90.00 beta=90.00 gamma=90.00
Last column: nearest neighbours and their distance in Å.
Fractional positions:
1 Y 0.0000 0.0000 0.0000  4 Si 3.00, 3 Al 3.09-3.13
2 Y 0.0000 0.5000 0.5000  4 Si 3.00, 3 Al 3.09-3.13
3 Y 0.5000 0.0000 0.2828  4 Al 3.01, 3 Si 3.03-3.17
4 Y 0.5000 0.5000 0.7828  4 Al 3.01, 3 Si 3.03-3.17
5 Al 0.0000 0.0000 0.7128  2 Si 2.54
6 Al 0.0000 0.5000 0.2128  2 Si 2.54
7 Si 0.5000 0.0000 0.5649  2 Al 2.54
8 Si 0.5000 0.5000 0.0649  2 Al 2.54

Properties
- ΔE_f (raw) (eV/f.u.) = -3.0
- SG = Amm2 (38)

6.
# LaMgTa4

A PBEsol-optimized structure of LaMgTa4 (SCAN, Alexandria).

Unit cell a=5.6432 b=5.6432 c=5.6432 alpha=60.00 beta=60.00 gamma=60.00
Last column: nearest neighbours and their distance in Å.
Fractional positions:
1 La 0.0000 0.0000 0.0000  12 Ta 3.31, 4 Mg 3.46
2 Mg 0.7500 0.7500 0.7500  12 Ta 3.31, 4 La 3.46
3 Ta 0.3740 0.3740 0.3740  6 Ta 2.80-2.84
4 Ta 0.3740 0.3740 0.8779  6 Ta 2.80-2.84
5 Ta 0.3740 0.8779 0.3740  6 Ta 2.80-2.84
6 Ta 0.8779 0.3740 0.3740  6 Ta 2.80-2.84

Properties
- calculated formation energy (eV per atom) = 0.429
- SG = F-43m (216)

7.
# Zr2PbSe

A PBEsol-optimized structure of Zr2PbSe (SCAN, Alexandria).

Unit cell a=3.4553 b=3.8418 c=13.4501 alpha=90.00 beta=90.00 gamma=90.00
Last column: nearest neighbours and their distance in Å.
Fractional positions:
1 Zr 0.0000 0.0000 0.0000  4 Se 2.76, 2 Pb 2.94
2 Zr 0.0000 0.5000 0.2234  2 Se 2.68, 4 Pb 2.99
3 Zr 0.5000 0.0000 0.7234  2 Se 2.68, 4 Pb 2.99
4 Zr 0.5000 0.5000 0.5000  4 Se 2.76, 2 Pb 2.94
5 Pb 0.0000 0.5000 0.8348  6 Zr 2.94-2.99
6 Pb 0.5000 0.0000 0.3348  6 Zr 2.94-2.99
7 Se 0.0000 0.0000 0.5714  6 Zr 2.68-2.76
8 Se 0.5000 0.5000 0.0714  6 Zr 2.68-2.76

Properties
- ΔE_f (raw) (eV/f.u.) = -3.1
- SG = Imm2 (44)
- excess energy over the best structure of this formula in the dataset (eV/atom) = 0.004

8.
# GaWSe3

A PBEsol-optimized structure of GaWSe3 (SCAN, Alexandria).

Unit cell a=4.7604 b=4.7604 c=4.7604 alpha=90.00 beta=90.00 gamma=90.00
Last column: nearest neighbours and their distance in Å.
Fractional positions:
1 Ga 0.0000 0.0000 0.0000  6 Se 2.38
2 W 0.5000 0.5000 0.5000  12 Se 3.37
3 Se 0.0000 0.0000 0.5000  2 Ga 2.38
4 Se 0.0000 0.5000 0.0000  2 Ga 2.38
5 Se 0.5000 0.0000 0.0000  2 Ga 2.38

Properties
- ΔE_f (raw) (eV/f.u.) = 5.9
- SG = Pm-3m (221)

no.,DOS at the Fermi energy (states/eV per cell),E_tot (eV per atom)
1,3.92,-52.43
2,4.40,-22.51
3,0.86,-15.29
4,11.21,-18.80
5,5.02,-19.11
6,8.55,-51.97
7,4.19,-40.09
8,1.59,-28.08